Arrangement w

Entry from Alexandria: crystalline Li2AgRu at its relaxed geometry (PBE-GGA).

Cell lengths 9.0244, 2.5924, 5.0754 Å; angles 90.00, 97.03, 90.00 degrees
With the nearest neighbours (Å) after each atom.
Space group C2/m (No. 12)
Symmetry-distinct sites (fractional):
Li  0.2492  0.0000  0.2288 (multiplicity 4)  4 Li 2.59-2.66, 3 Ru 2.67-2.73, 3 Ag 2.78-2.82
Ag  0.0000  0.0000  0.5000 (multiplicity 2)  2 Ag 2.59, 6 Li 2.78-2.82, 4 Ru 2.85
Ru  0.0000  0.5000  0.0000 (multiplicity 2)  2 Ru 2.59, 6 Li 2.67-2.73, 4 Ag 2.85

---

Arrangement x

Entry from Alexandria: crystalline Li2AgRu at its relaxed geometry (PBE-GGA).

Cell lengths 5.6268, 8.0626, 2.5791 Å; angles 90.00, 90.00, 90.00 degrees
With the nearest neighbours (Å) after each atom.
Space group Cmmm (No. 65)
Symmetry-distinct sites (fractional):
Li  0.2500  0.2500  0.0000 (multiplicity 4)  4 Li 2.58-2.81, 4 Ru 2.78, 4 Ag 2.78
Ag  0.0000  0.0000  0.5000 (multiplicity 2)  2 Ag 2.58, 8 Li 2.78, 2 Ru 2.81
Ru  0.0000  0.5000  0.5000 (multiplicity 2)  2 Ru 2.58, 8 Li 2.78, 2 Ag 2.81

---

Arrangement y

Entry from Alexandria: crystalline Li2AgRu at its relaxed geometry (PBE-GGA).

Cell lengths 2.6620, 4.8938, 9.1422 Å; angles 90.00, 90.00, 90.00 degrees
With the nearest neighbours (Å) after each atom.
Space group Immm (No. 71)
Symmetry-distinct sites (fractional):
Li  0.0000  0.0000  0.2496 (multiplicity 4)  2 Ru 2.64, 2 Ag 2.65, 6 Li 2.66-2.79
Ag  0.0000  0.5000  0.0000 (multiplicity 2)  4 Li 2.65, 2 Ag 2.66, 4 Ru 2.79
Ru  0.0000  0.5000  0.5000 (multiplicity 2)  4 Li 2.64, 2 Ru 2.66, 4 Ag 2.79

---

If we sort the structures by their calculated energies, the order from most to least stable is arrangement w, arrangement y, arrangement x.

---

Arrangement w

Entry from Alexandria: crystalline Li2AgRu at its relaxed geometry (PBE-GGA).

Cell lengths 2.8677, 4.5384, 9.1425 Å; angles 90.00, 90.00, 90.00 degrees
With the nearest neighbours (Å) after each atom.
Space group Cmmm (No. 65)
Symmetry-distinct sites (fractional):
Li  0.0000  0.0000  0.2370 (multiplicity 4)  2 Ru 2.60, 6 Li 2.68-2.87, 2 Ag 2.80
Ag  0.0000  0.5000  0.5000 (multiplicity 2)  6 Ag 2.68-2.87, 4 Li 2.80
Ru  0.0000  0.5000  0.0000 (multiplicity 2)  4 Li 2.60, 6 Ru 2.68-2.87

---

Arrangement x

Entry from Alexandria: crystalline Li2AgRu at its relaxed geometry (PBE-GGA).

Cell lengths 2.6517, 2.6517, 9.0092 Å; angles 90.00, 90.00, 90.00 degrees
With the nearest neighbours (Å) after each atom.
Space group P4mm (No. 99)
Symmetry-distinct sites (fractional):
Li  0.0000  0.0000  0.0000 (multiplicity 1)  4 Li 2.65, 4 Ag 2.83
Li  0.5000  0.5000  0.2878 (multiplicity 1)  4 Li 2.65, 4 Ru 2.75
Ag  0.5000  0.5000  0.7650 (multiplicity 1)  4 Ag 2.65, 4 Li 2.83, 4 Ru 2.95
Ru  0.0000  0.0000  0.5118 (multiplicity 1)  4 Ru 2.65, 4 Li 2.75, 4 Ag 2.95

---

If we sort the structures by their calculated energies, the order from most to least stable is arrangement w, arrangement x.

---

Arrangement w

Entry from Alexandria: crystalline Li2AgRu at its relaxed geometry (PBE-GGA).

Cell lengths 2.5898, 4.4005, 5.2709 Å; angles 90.00, 90.00, 90.00 degrees
With the nearest neighbours (Å) after each atom.
Space group Pmm2 (No. 25)
Symmetry-distinct sites (fractional):
Li  0.0000  0.0000  0.0000 (multiplicity 1)  2 Li 2.59, 2 Ru 2.63-2.64, 4 Ag 2.88
Li  0.5000  0.5000  0.2640 (multiplicity 1)  2 Ag 2.54-2.73, 2 Li 2.59, 4 Ru 2.84
Ag  0.5000  0.5000  0.7468 (multiplicity 1)  2 Li 2.54-2.73, 2 Ag 2.59
Ru  0.0000  0.0000  0.5005 (multiplicity 1)  2 Ru 2.59, 6 Li 2.63-2.84, 4 Ag 2.86

---

Arrangement x

Entry from Alexandria: crystalline Li2AgRu at its relaxed geometry (PBE-GGA).

Cell lengths 2.6485, 2.6485, 8.3596 Å; angles 90.00, 90.00, 90.00 degrees
With the nearest neighbours (Å) after each atom.
Space group P4/mmm (No. 123)
Symmetry-distinct sites (fractional):
Li  0.0000  0.0000  0.2411 (multiplicity 2)  4 Li 2.65, 4 Ru 2.75, 4 Ag 2.86
Ag  0.5000  0.5000  0.5000 (multiplicity 1)  4 Ag 2.65, 8 Li 2.86
Ru  0.5000  0.5000  0.0000 (multiplicity 1)  4 Ru 2.65, 8 Li 2.75

---

Arrangement y

Entry from Alexandria: crystalline Li2AgRu at its relaxed geometry (PBE-GGA).

Cell lengths 2.6487, 4.5883, 9.4580 Å; angles 90.00, 90.00, 90.00 degrees
With the nearest neighbours (Å) after each atom.
Space group Imm2 (No. 44)
Symmetry-distinct sites (fractional):
Li  0.0000  0.0000  0.0000 (multiplicity 2)  4 Li 2.65-2.67, 4 Ag 2.65, 2 Ru 2.72
Li  0.0000  0.5000  0.2546 (multiplicity 2)  2 Ag 2.64, 4 Li 2.65-2.67, 4 Ru 2.65
Ag  0.0000  0.0000  0.5134 (multiplicity 2)  6 Li 2.64-2.65, 2 Ag 2.65, 2 Ru 2.81
Ru  0.0000  0.5000  0.7513 (multiplicity 2)  2 Ru 2.65, 6 Li 2.65-2.72, 2 Ag 2.81

---

If we sort the structures by their calculated energies, the order from most to least stable is arrangement x, arrangement w, arrangement y.

---

Arrangement w

Entry from Alexandria: crystalline Li2Ag2Ru at its relaxed geometry (PBE-GGA).

Cell lengths 7.2388, 7.2388, 2.7793 Å; angles 90.00, 90.00, 90.00 degrees
With the nearest neighbours (Å) after each atom.
Space group P4/mbm (No. 127)
Symmetry-distinct sites (fractional):
Li  0.1278  0.3722  0.0000 (multiplicity 4)  6 Ag 2.45-2.62, 1 Li 2.62
Ag  0.1750  0.6750  0.5000 (multiplicity 4)  6 Li 2.45-2.62
Ru  0.0000  0.0000  0.0000 (multiplicity 2)  2 Ru 2.78, 4 Li 2.85, 8 Ag 3.01

---

Arrangement x

Entry from Alexandria: crystalline Li2Ag2Ru at its relaxed geometry (PBE-GGA).

Cell lengths 7.4854, 7.4854, 2.7123 Å; angles 90.00, 90.00, 90.00 degrees
With the nearest neighbours (Å) after each atom.
Space group P4/mbm (No. 127)
Symmetry-distinct sites (fractional):
Li  0.1665  0.3335  0.0000 (multiplicity 4)  6 Ag 2.49-2.65, 2 Li 2.71
Ag  0.1360  0.6360  0.5000 (multiplicity 4)  6 Li 2.49-2.65, 2 Ag 2.71
Ru  0.0000  0.0000  0.5000 (multiplicity 2)  2 Ru 2.71, 4 Ag 2.91

---

If we sort the structures by their calculated energies, the order from most to least stable is arrangement w, arrangement x.